No. 1
Material: SiP2IrS
Method: DFT, PBE
State: optimized geometry

extended XYZ file:
```
5
Lattice="4.462 0.000 0.000 0.000 4.462 0.000 0.000 0.000 5.181" Properties=species:S:1:pos:R:3 pbc="T T T"
Si 0.000 0.000 0.000
P 0.000 2.231 2.590
P 2.231 0.000 2.590
Ir 2.231 2.231 2.590
S 2.231 2.231 0.000
```

Distance to the lowest polymorph of the same formula   0.0 meV per atom
Total magnetization   0.00 μB/atom
Formation energy (no corrections)   0.8106 eV per atom
DOS(E_F)   2.8 states/eV/cell

=====

No. 2
Material: KSc2I7
Method: DFT, PBE
State: optimized geometry

extended XYZ file:
```
10
Lattice="4.716 -7.647 0.000 4.716 7.647 0.000 0.000 0.000 5.736" Properties=species:S:1:pos:R:3 pbc="T T T"
K 0.000 0.000 0.000
Sc 4.716 3.048 2.868
Sc 4.716 -3.048 2.868
I 1.774 2.151 2.868
I 4.716 3.053 0.000
I 1.774 -2.151 2.868
I 4.716 0.000 2.868
I 7.658 2.151 2.868
I 4.716 -3.053 0.000
I 7.658 -2.151 2.868
```

Total magnetization   0.00 μB/atom
Formation energy (no corrections)   -1.1334 eV per atom

=====

No. 3
Material: LiAlInGe
Method: DFT, PBE
State: optimized geometry

extended XYZ file:
```
4
Lattice="0.000 3.384 3.384 3.384 0.000 3.384 3.384 3.384 0.000" Properties=species:S:1:pos:R:3 pbc="T T T"
Li 0.000 0.000 0.000
Al 3.384 3.384 3.384
In 1.692 1.692 1.692
Ge 5.076 5.076 5.076
```

Total magnetization   0.00 μB/atom
DOS(E_F)   2.7 states/eV/cell
Energy of formation from the pure elements   0.0181 eV per atom

=====

No. 4
Material: TiPF3
Method: DFT, PBE
State: optimized geometry

extended XYZ file:
```
5
Lattice="4.289 0.000 0.000 0.000 4.289 0.000 0.000 0.000 4.289" Properties=species:S:1:pos:R:3 pbc="T T T"
Ti 0.000 0.000 0.000
P 2.145 2.145 2.145
F 0.000 2.145 2.145
F 2.145 0.000 2.145
F 2.145 2.145 0.000
```

Distance to the lowest polymorph of the same formula   1003.1 meV per atom
Total magnetization   0.52 μB/atom
Formation energy (no corrections)   -0.6671 eV per atom
DOS(E_F)   6.6 states/eV/cell

=====

No. 5
Material: Tm3Mg2In3
Method: DFT, PBE
State: optimized geometry

extended XYZ file:
```
16
Lattice="8.879 0.000 0.000 -4.439 7.689 0.000 0.000 0.000 5.946" Properties=species:S:1:pos:R:3 pbc="T T T"
Tm -1.043 1.807 1.487
Tm -3.396 5.882 4.460
Tm 2.086 0.000 1.487
Tm 1.043 1.807 4.460
Tm 6.792 0.000 4.460
Tm 3.396 5.882 1.487
Mg 0.000 5.126 0.000
Mg 0.000 5.126 2.973
Mg 4.439 2.563 0.000
Mg 4.439 2.563 2.973
In -1.791 3.103 4.460
In -2.648 4.587 1.487
In 3.583 0.000 4.460
In 1.791 3.103 1.487
In 5.296 0.000 1.487
In 2.648 4.587 4.460
```

Total magnetization   0.00 μB/atom
DOS(E_F)   11.1 states/eV/cell
Energy of formation from the pure elements   -0.2893 eV per atom

=====

No. 6
Material: Sm2PuSn
Method: DFT, PBE
State: optimized geometry

extended XYZ file:
```
4
Lattice="1.723 0.995 11.909 -1.723 0.995 11.909 0.000 -1.989 11.909" Properties=species:S:1:pos:R:3 pbc="T T T"
Sm 0.000 0.000 3.311
Sm 0.000 0.000 32.417
Pu 0.000 0.000 0.000
Sn 0.000 0.000 17.864
```

Distance to the lowest polymorph of the same formula   401.3 meV per atom
Total magnetization   1.58 μB/atom
DOS(E_F)   11.4 states/eV/cell
Energy of formation from the pure elements   0.0723 eV per atom